a:
# PBE-GGA Ce2Si3Pd2, optimized geometry
# density = 7.2 g cm⁻³
# crystal system = orthorhombic
data_Ce2Si3Pd2
_chemical_formula_sum 'Ce4 Si6 Pd4'
_cell_length_a 9.284
_cell_length_b 9.284
_cell_length_c 6.876
_cell_angle_alpha 90.00
_cell_angle_beta 90.00
_cell_angle_gamma 153.44
_space_group_name_H-M_alt 'P 1'
_space_group_IT_number 1
_space_group_name_Hall 'P 1'
loop_
_atom_site_label
_atom_site_fract_x
_atom_site_fract_y
_atom_site_fract_z
_atom_site_occupancy
Ce1 0.054 0.946 0.750 1
Ce2 0.155 0.845 0.250 1
Ce3 0.845 0.155 0.750 1
Ce4 0.946 0.054 0.250 1
Si1 0.222 0.778 0.750 1
Si2 0.441 0.559 0.573 1
Si3 0.441 0.559 0.927 1
Si4 0.559 0.441 0.073 1
Si5 0.559 0.441 0.427 1
Si6 0.778 0.222 0.250 1
Pd1 0.309 0.691 0.048 1
Pd2 0.309 0.691 0.452 1
Pd3 0.691 0.309 0.548 1
Pd4 0.691 0.309 0.952 1


b:
# PBE-GGA Ce2Si3Pd2, optimized geometry
# density = 7.3 g cm⁻³
# crystal system = monoclinic
data_Ce2Si3Pd2
_chemical_formula_sum 'Ce2 Si3 Pd2'
_cell_length_a 5.491
_cell_length_b 5.491
_cell_length_c 6.517
_cell_angle_alpha 108.85
_cell_angle_beta 108.85
_cell_angle_gamma 45.46
_space_group_name_H-M_alt 'P 1'
_space_group_IT_number 1
_space_group_name_Hall 'P 1'
loop_
_atom_site_label
_atom_site_fract_x
_atom_site_fract_y
_atom_site_fract_z
_atom_site_occupancy
Ce1 0.155 0.155 0.288 1
Ce2 0.845 0.845 0.712 1
Si1 0.405 0.405 0.065 1
Si2 0.500 0.500 0.500 1
Si3 0.595 0.595 0.935 1
Pd1 0.147 0.147 0.776 1
Pd2 0.853 0.853 0.224 1


List of relative energies, unit eV/atom: a 0.000; b 0.144


a:
# PBE-GGA Ce2Si2Pd3, optimized geometry
# density = 7.9 g cm⁻³
# crystal system = orthorhombic
data_Ce2Si2Pd3
_chemical_formula_sum 'Ce4 Si4 Pd6'
_cell_length_a 9.948
_cell_length_b 9.948
_cell_length_c 6.831
_cell_angle_alpha 90.00
_cell_angle_beta 90.00
_cell_angle_gamma 156.07
_space_group_name_H-M_alt 'P 1'
_space_group_IT_number 1
_space_group_name_Hall 'P 1'
loop_
_atom_site_label
_atom_site_fract_x
_atom_site_fract_y
_atom_site_fract_z
_atom_site_occupancy
Ce1 0.060 0.940 0.750 1
Ce2 0.158 0.842 0.250 1
Ce3 0.842 0.158 0.750 1
Ce4 0.940 0.060 0.250 1
Si1 0.312 0.688 0.062 1
Si2 0.312 0.688 0.438 1
Si3 0.688 0.312 0.562 1
Si4 0.688 0.312 0.938 1
Pd1 0.223 0.777 0.750 1
Pd2 0.433 0.567 0.549 1
Pd3 0.433 0.567 0.951 1
Pd4 0.567 0.433 0.049 1
Pd5 0.567 0.433 0.451 1
Pd6 0.777 0.223 0.250 1


b:
# PBE-GGA Ce2Si2Pd3, optimized geometry
# density = 8.2 g cm⁻³
# crystal system = monoclinic
data_Ce2Si2Pd3
_chemical_formula_sum 'Ce2 Si2 Pd3'
_cell_length_a 5.575
_cell_length_b 5.575
_cell_length_c 6.959
_cell_angle_alpha 112.60
_cell_angle_beta 112.60
_cell_angle_gamma 42.24
_space_group_name_H-M_alt 'P 1'
_space_group_IT_number 1
_space_group_name_Hall 'P 1'
loop_
_atom_site_label
_atom_site_fract_x
_atom_site_fract_y
_atom_site_fract_z
_atom_site_occupancy
Ce1 0.138 0.138 0.271 1
Ce2 0.862 0.862 0.729 1
Si1 0.147 0.147 0.719 1
Si2 0.853 0.853 0.281 1
Pd1 0.372 0.372 0.063 1
Pd2 0.500 0.500 0.500 1
Pd3 0.628 0.628 0.937 1


List of relative energies, unit eV/atom: a 0.076; b 0.000